This record from Alexandria via LeMat-Bulk describes crystalline Tl5BiBr8 at its relaxed geometry. The functional is GGA-PBE.

```
data_Tl5BiBr8
_chemical_formula_sum 'Tl10 Bi2 Br16'
_cell_length_a 9.8060
_cell_length_b 9.8060
_cell_length_c 10.0369
_cell_angle_alpha 90.00
_cell_angle_beta 90.00
_cell_angle_gamma 90.00
_space_group_name_H-M_alt 'I -4'
_space_group_IT_number 82
_space_group_name_Hall 'I -4'
loop_
_atom_site_label
_atom_site_fract_x
_atom_site_fract_y
_atom_site_fract_z
Tl1 0.0000 0.0000 0.0000
Tl2 0.1257 0.2607 0.6342
Bi1 0.0000 0.5000 0.2500
Br1 0.0660 0.3298 0.9825
Br2 0.0706 0.2134 0.3185
```

Computed properties:
electronic total energy = -80.25 eV for the cell shown
magnetization = 0.0 μB/f.u.